# 1
The following is a DFT calculation (meta-GGA SCAN) of a PBEsol-optimized structure of Re2SiCl.

Lattice parameters (Å, degrees): 9.9303 2.9167 4.0393 90.00 103.59 90.00
Fractional positions:
1 Re 0.0000 0.0000 0.0000
2 Re 0.2395 0.5000 0.2985
3 Re 0.5000 0.5000 0.0000
4 Re 0.7395 0.0000 0.2985
5 Si 0.2868 0.0000 0.8396
6 Si 0.7868 0.5000 0.8396
7 Cl 0.0320 0.5000 0.4901
8 Cl 0.5320 0.0000 0.4901

## Properties
Total magnetic moment ... 0.000 μB/f.u.
N(E_F) ... 1.60 states/eV/f.u.
Calculated total energy ... -314.9 eV/cell
Formation energy without anion corrections ... 0.687 eV per atom

# 2
The following is a DFT calculation (meta-GGA SCAN) of a PBEsol-optimized structure of Ta2GeIrO.

Lattice parameters (Å, degrees): 4.0987 4.0987 4.3045 90.00 90.00 90.00
Fractional positions:
1 Ta 0.0000 0.5000 0.0000
2 Ta 0.5000 0.0000 0.0000
3 Ge 0.0000 0.0000 0.5000
4 Ir 0.5000 0.5000 0.5000
5 O 0.5000 0.5000 0.0000

## Properties
Total magnetic moment ... 0.000 μB/f.u.
N(E_F) ... 1.87 states/eV/f.u.
Calculated total energy ... -230.9 eV/cell
Formation energy without anion corrections ... -0.264 eV per atom

# 3
The following is a DFT calculation (meta-GGA SCAN) of a PBEsol-optimized structure of K2OsAu.

Lattice parameters (Å, degrees): 2.8694 2.8694 11.4403 90.00 90.00 90.00
Fractional positions:
1 K 0.0000 0.0000 0.0000
2 K 0.5000 0.5000 0.3729
3 Os 0.0000 0.0000 0.6015
4 Au 0.5000 0.5000 0.7698

## Properties
Total magnetic moment ... 0.441 μB/f.u.
N(E_F) ... 2.38 states/eV/f.u.
Calculated total energy ... -153.9 eV/cell

# 4
The following is a DFT calculation (meta-GGA SCAN) of a PBEsol-optimized structure of ZnSnRh2.

Lattice parameters (Å, degrees): 6.1715 6.1715 6.1715 90.00 90.00 90.00
Fractional positions:
1 Zn 0.0000 0.0000 0.0000
2 Zn 0.0000 0.5000 0.5000
3 Zn 0.5000 0.0000 0.5000
4 Zn 0.5000 0.5000 0.0000
5 Sn 0.0000 0.0000 0.5000
6 Sn 0.0000 0.5000 0.0000
7 Sn 0.5000 0.0000 0.0000
8 Sn 0.5000 0.5000 0.5000
9 Rh 0.2500 0.2500 0.2500
10 Rh 0.2500 0.2500 0.7500
11 Rh 0.2500 0.7500 0.2500
12 Rh 0.2500 0.7500 0.7500
13 Rh 0.7500 0.2500 0.2500
14 Rh 0.7500 0.2500 0.7500
15 Rh 0.7500 0.7500 0.2500
16 Rh 0.7500 0.7500 0.7500

## Properties
Total magnetic moment ... 0.006 μB/f.u.
N(E_F) ... 1.66 states/eV/f.u.
Calculated total energy ... -475.5 eV/cell

# 5
The following is a DFT calculation (meta-GGA SCAN) of a PBEsol-optimized structure of IrPbS2.

Lattice parameters (Å, degrees): 3.5390 3.5390 24.3262 90.00 90.00 120.00
Fractional positions:
1 Ir 0.0000 0.0000 0.0000
2 Ir 0.3333 0.6667 0.6667
3 Ir 0.6667 0.3333 0.3333
4 Pb 0.0000 0.0000 0.5000
5 Pb 0.3333 0.6667 0.1667
6 Pb 0.6667 0.3333 0.8333
7 S 0.0000 0.0000 0.3811
8 S 0.0000 0.0000 0.6189
9 S 0.3333 0.6667 0.0478
10 S 0.3333 0.6667 0.2855
11 S 0.6667 0.3333 0.7145
12 S 0.6667 0.3333 0.9522

## Properties
Total magnetic moment ... 0.000 μB/f.u.
N(E_F) ... 1.95 states/eV/f.u.
Calculated total energy ... -503.4 eV/cell
Formation energy without anion corrections ... -0.413 eV per atom

# 6
The following is a DFT calculation (meta-GGA SCAN) of a PBEsol-optimized structure of BaTl2Sb.

Lattice parameters (Å, degrees): 6.8095 12.3585 3.7701 90.00 123.45 90.00
Fractional positions:
1 Ba 0.0000 0.0000 0.0000
2 Ba 0.5000 0.5000 0.0000
3 Tl 0.2500 0.2500 0.5000
4 Tl 0.2500 0.7500 0.5000
5 Tl 0.7500 0.2500 0.5000
6 Tl 0.7500 0.7500 0.5000
7 Sb 0.0000 0.5000 0.0000
8 Sb 0.5000 0.0000 0.0000

## Properties
Total magnetic moment ... 0.000 μB/f.u.
N(E_F) ... 2.32 states/eV/f.u.
Calculated total energy ... -445.7 eV/cell
Formation energy without anion corrections ... -0.331 eV per atom